First-principles (SCAN) data for Hf2NiAu2 at its PBEsol-relaxed geometry, as listed in Alexandria via LeMat-Bulk.

Computed properties:
Magnetic moment in μB/cell: 0.0
Raw total energy in eV per atom: -55.78
E_form in eV per atom: 0.1837

Lattice parameters (Å, degrees): 5.882 5.882 5.882 133.17 133.17 68.39
Fractional positions:
Hf 0.250 0.750 0.500
Hf 0.750 0.250 0.500
Ni 0.000 0.000 0.000
Au 0.373 0.373 0.000
Au 0.627 0.627 0.000